## P
Here is a relaxed structure of SmHo2Sn from the Alexandria database. Energies are from PBE.

## Properties
For the density of states at the Fermi level, the calculation gives 9.89 states/eV/cell. Its total magnetization is 0.0 μB/cell.

Cell: 4.622 4.686 11.470 Å, 90.00 101.61 90.00°
Fractional coordinates of all 8 atoms:
Sm 0.193 0.250 0.386
Sm 0.807 0.750 0.614
Ho 0.059 0.750 0.117
Ho 0.436 0.750 0.873
Ho 0.564 0.250 0.127
Ho 0.941 0.250 0.883
Sn 0.337 0.250 0.672
Sn 0.663 0.750 0.328

## Q
Here is a relaxed structure of SmHo2Sn from the Alexandria database. Energies are from PBE.

## Properties
For the density of states at the Fermi level, the calculation gives 12.15 states/eV/cell. Its total magnetization is 0.0 μB/cell.

Cell: 3.512 3.512 35.828 Å, 90.00 90.00 120.00°
Fractional coordinates of all 12 atoms:
Sm 0.000 0.000 0.000
Sm 0.333 0.667 0.667
Sm 0.667 0.333 0.333
Ho 0.000 0.000 0.413
Ho 0.000 0.000 0.587
Ho 0.333 0.667 0.080
Ho 0.333 0.667 0.253
Ho 0.667 0.333 0.747
Ho 0.667 0.333 0.920
Sn 0.000 0.000 0.500
Sn 0.333 0.667 0.167
Sn 0.667 0.333 0.833

The winner here is P, beating the second structure by 461 meV per atom.

## P
Here is a relaxed structure of SmHo2Sn from the Alexandria database. Energies are from PBE.

## Properties
For the density of states at the Fermi level, the calculation gives 17.23 states/eV/cell. Its total magnetization is 0.0 μB/cell.

Cell: 5.445 12.757 6.883 Å, 90.00 90.00 90.00°
Fractional coordinates of all 16 atoms:
Sm 0.000 0.069 0.250
Sm 0.000 0.931 0.750
Sm 0.500 0.431 0.750
Sm 0.500 0.569 0.250
Ho 0.000 0.368 0.020
Ho 0.000 0.368 0.480
Ho 0.000 0.632 0.520
Ho 0.000 0.632 0.980
Ho 0.500 0.132 0.520
Ho 0.500 0.132 0.980
Ho 0.500 0.868 0.020
Ho 0.500 0.868 0.480
Sn 0.000 0.175 0.750
Sn 0.000 0.825 0.250
Sn 0.500 0.325 0.250
Sn 0.500 0.675 0.750

## Q
Here is a relaxed structure of SmHo2Sn from the Alexandria database. Energies are from PBE.

## Properties
For the density of states at the Fermi level, the calculation gives 4.73 states/eV/cell. Its total magnetization is 0.0 μB/cell.

Cell: 4.832 4.832 4.811 Å, 90.00 90.00 90.00°
Fractional coordinates of all 4 atoms:
Sm 0.000 0.000 0.000
Ho 0.000 0.500 0.500
Ho 0.500 0.000 0.500
Sn 0.500 0.500 0.000

The winner here is Q, beating the second structure by 131 meV per atom.

## P
Here is a relaxed structure of SmHo2Sn from the Alexandria database. Energies are from PBE.

## Properties
For the density of states at the Fermi level, the calculation gives 5.55 states/eV/cell. Its total magnetization is 0.0 μB/cell.

Cell: 3.737 3.737 8.546 Å, 90.00 90.00 90.00°
Fractional coordinates of all 4 atoms:
Sm 0.000 0.000 0.000
Ho 0.500 0.500 0.283
Ho 0.500 0.500 0.717
Sn 0.000 0.000 0.500

## Q
Here is a relaxed structure of SmHo2Sn from the Alexandria database. Energies are from PBE.

## Properties
For the density of states at the Fermi level, the calculation gives 27.74 states/eV/cell. Its total magnetization is 0.0 μB/cell.

Cell: 7.672 7.672 7.672 Å, 90.00 90.00 90.00°
Fractional coordinates of all 16 atoms:
Sm 0.000 0.000 0.000
Sm 0.000 0.500 0.500
Sm 0.500 0.000 0.500
Sm 0.500 0.500 0.000
Ho 0.000 0.000 0.500
Ho 0.000 0.500 0.000
Ho 0.250 0.250 0.750
Ho 0.250 0.750 0.250
Ho 0.500 0.000 0.000
Ho 0.500 0.500 0.500
Ho 0.750 0.250 0.250
Ho 0.750 0.750 0.750
Sn 0.250 0.250 0.250
Sn 0.250 0.750 0.750
Sn 0.750 0.250 0.750
Sn 0.750 0.750 0.250

The winner here is P, beating the second structure by 60 meV per atom.

## P
Here is a relaxed structure of Sm2HoSn2 from the Alexandria database. Energies are from PBE.

## Properties
For the density of states at the Fermi level, the calculation gives 8.93 states/eV/cell. Its total magnetization is 0.0 μB/cell.

Cell: 8.103 8.103 4.489 Å, 90.00 90.00 90.00°
Fractional coordinates of all 10 atoms:
Sm 0.171 0.329 0.000
Sm 0.329 0.829 0.000
Sm 0.671 0.171 0.000
Sm 0.829 0.671 0.000
Ho 0.000 0.000 0.500
Ho 0.500 0.500 0.500
Sn 0.131 0.631 0.500
Sn 0.369 0.131 0.500
Sn 0.631 0.869 0.500
Sn 0.869 0.369 0.500

## Q
Here is a relaxed structure of Sm2HoSn2 from the Alexandria database. Energies are from PBE.

## Properties
For the density of states at the Fermi level, the calculation gives 7.21 states/eV/cell. Its total magnetization is 0.0 μB/cell.

Cell: 9.487 9.487 6.531 Å, 90.00 90.00 149.19°
Fractional coordinates of all 10 atoms:
Sm 0.000 0.000 0.000
Sm 0.000 0.000 0.500
Sm 0.192 0.808 0.751
Sm 0.808 0.192 0.251
Ho 0.396 0.604 0.750
Ho 0.604 0.396 0.250
Sn 0.191 0.809 0.251
Sn 0.425 0.575 0.250
Sn 0.575 0.425 0.750
Sn 0.809 0.191 0.751

The winner here is P, beating the second structure by 74 meV per atom.

## P
Here is a relaxed structure of Tb3Sm4Ho8 from the Alexandria database. Energies are from PBE.

## Properties
For the density of states at the Fermi level, the calculation gives 22.53 states/eV/cell. Its total magnetization is 0.0 μB/cell.

Cell: 12.430 12.430 12.430 Å, 32.41 32.41 32.41°
Fractional coordinates of all 15 atoms:
Tb 0.000 0.500 0.500
Tb 0.500 0.000 0.500
Tb 0.500 0.500 0.000
Sm 0.000 0.000 0.000
Sm 0.164 0.164 0.164
Sm 0.500 0.500 0.500
Sm 0.836 0.836 0.836
Ho 0.250 0.250 0.748
Ho 0.250 0.748 0.250
Ho 0.252 0.750 0.750
Ho 0.255 0.255 0.255
Ho 0.745 0.745 0.745
Ho 0.748 0.250 0.250
Ho 0.750 0.252 0.750
Ho 0.750 0.750 0.252

## Q
Here is a relaxed structure of Tb3Sm4Ho8 from the Alexandria database. Energies are from PBE.

## Properties
For the density of states at the Fermi level, the calculation gives 30.07 states/eV/cell. Its total magnetization is 0.0 μB/cell.

Cell: 9.252 9.252 6.735 Å, 111.28 111.28 87.50°
Fractional coordinates of all 15 atoms:
Tb 0.000 0.000 0.000
Tb 0.000 0.500 0.500
Tb 0.500 0.000 0.500
Sm 0.000 0.500 0.000
Sm 0.500 0.000 0.000
Sm 0.500 0.500 0.000
Sm 0.500 0.500 0.500
Ho 0.139 0.861 0.500
Ho 0.231 0.231 0.966
Ho 0.233 0.233 0.490
Ho 0.245 0.755 0.000
Ho 0.755 0.245 0.000
Ho 0.767 0.767 0.510
Ho 0.769 0.769 0.034
Ho 0.861 0.139 0.500

The winner here is P, beating the second structure by 251 meV per atom.

## P
Here is a relaxed structure of Tb6SmHo12 from the Alexandria database. Energies are from PBE.

## Properties
For the density of states at the Fermi level, the calculation gives 25.10 states/eV/cell. Its total magnetization is 0.0 μB/cell.

Cell: 9.347 9.347 9.347 Å, 108.64 108.64 108.64°
Fractional coordinates of all 19 atoms:
Tb 0.246 0.678 0.678
Tb 0.322 0.322 0.754
Tb 0.322 0.754 0.322
Tb 0.678 0.246 0.678
Tb 0.678 0.678 0.246
Tb 0.754 0.322 0.322
Sm 0.000 0.000 0.000
Ho 0.109 0.500 0.891
Ho 0.109 0.891 0.500
Ho 0.160 0.370 0.370
Ho 0.370 0.160 0.370
Ho 0.370 0.370 0.160
Ho 0.500 0.109 0.891
Ho 0.500 0.891 0.109
Ho 0.630 0.630 0.840
Ho 0.630 0.840 0.630
Ho 0.840 0.630 0.630
Ho 0.891 0.109 0.500
Ho 0.891 0.500 0.109

## Q
Here is a relaxed structure of Tb6SmHo12 from the Alexandria database. Energies are from PBE.

## Properties
For the density of states at the Fermi level, the calculation gives 30.93 states/eV/cell. Its total magnetization is 0.0 μB/cell.

Cell: 8.498 8.498 8.498 Å, 88.46 88.46 88.46°
Fractional coordinates of all 19 atoms:
Tb 0.187 0.591 0.757
Tb 0.243 0.813 0.409
Tb 0.409 0.243 0.813
Tb 0.591 0.757 0.187
Tb 0.757 0.187 0.591
Tb 0.813 0.409 0.243
Sm 0.500 0.500 0.500
Ho 0.044 0.273 0.936
Ho 0.064 0.956 0.727
Ho 0.145 0.290 0.490
Ho 0.273 0.936 0.044
Ho 0.290 0.490 0.145
Ho 0.490 0.145 0.290
Ho 0.510 0.855 0.710
Ho 0.710 0.510 0.855
Ho 0.727 0.064 0.956
Ho 0.855 0.710 0.510
Ho 0.936 0.044 0.273
Ho 0.956 0.727 0.064

The winner here is Q, beating the second structure by 289 meV per atom.

## P
Here is a relaxed structure of TbSm6Ho8 from the Alexandria database. Energies are from PBE.

## Properties
For the density of states at the Fermi level, the calculation gives 21.78 states/eV/cell. Its total magnetization is 0.0 μB/cell.

Cell: 9.444 9.444 6.531 Å, 90.00 90.00 120.00°
Fractional coordinates of all 15 atoms:
Tb 0.000 0.000 0.000
Sm 0.089 0.679 0.094
Sm 0.321 0.409 0.094
Sm 0.409 0.089 0.906
Sm 0.591 0.911 0.094
Sm 0.679 0.591 0.906
Sm 0.911 0.321 0.906
Ho 0.022 0.332 0.399
Ho 0.310 0.978 0.399
Ho 0.332 0.310 0.601
Ho 0.333 0.667 0.657
Ho 0.667 0.333 0.343
Ho 0.668 0.690 0.399
Ho 0.690 0.022 0.601
Ho 0.978 0.668 0.601

## Q
Here is a relaxed structure of TbSm6Ho8 from the Alexandria database. Energies are from PBE.

## Properties
For the density of states at the Fermi level, the calculation gives 21.63 states/eV/cell. Its total magnetization is 0.0 μB/cell.

Cell: 8.660 8.660 8.660 Å, 63.11 63.11 63.11°
Fractional coordinates of all 15 atoms:
Tb 0.000 0.000 0.000
Sm 0.106 0.539 0.227
Sm 0.227 0.106 0.539
Sm 0.461 0.773 0.894
Sm 0.539 0.227 0.106
Sm 0.773 0.894 0.461
Sm 0.894 0.461 0.773
Ho 0.111 0.720 0.746
Ho 0.254 0.889 0.280
Ho 0.280 0.254 0.889
Ho 0.423 0.423 0.423
Ho 0.577 0.577 0.577
Ho 0.720 0.746 0.111
Ho 0.746 0.111 0.720
Ho 0.889 0.280 0.254

The winner here is Q, beating the second structure by 109 meV per atom.

## P
Here is a relaxed structure of TbSm4Ho from the Alexandria database. Energies are from PBE.

## Properties
For the density of states at the Fermi level, the calculation gives 19.19 states/eV/cell. Its total magnetization is 0.0 μB/cell.

Cell: 11.635 11.642 3.463 Å, 90.00 90.00 90.00°
Fractional coordinates of all 12 atoms:
Tb 0.000 0.000 0.000
Tb 0.500 0.500 0.000
Sm 0.000 0.262 0.000
Sm 0.000 0.738 0.000
Sm 0.240 0.000 0.500
Sm 0.260 0.500 0.500
Sm 0.500 0.238 0.000
Sm 0.500 0.762 0.000
Sm 0.740 0.500 0.500
Sm 0.760 0.000 0.500
Ho 0.000 0.500 0.500
Ho 0.500 0.000 0.500

## Q
Here is a relaxed structure of TbSm4Ho from the Alexandria database. Energies are from PBE.

## Properties
For the density of states at the Fermi level, the calculation gives 17.07 states/eV/cell. Its total magnetization is 0.0 μB/cell.

Cell: 11.949 3.595 10.171 Å, 90.00 115.15 90.00°
Fractional coordinates of all 12 atoms:
Tb 0.000 0.000 0.000
Tb 0.500 0.500 0.000
Sm 0.166 0.500 0.334
Sm 0.166 0.500 0.833
Sm 0.334 0.000 0.167
Sm 0.334 0.000 0.666
Sm 0.666 0.000 0.334
Sm 0.666 0.000 0.833
Sm 0.834 0.500 0.167
Sm 0.834 0.500 0.666
Ho 0.000 0.000 0.500
Ho 0.500 0.500 0.500

The winner here is Q, beating the second structure by 632 meV per atom.

## P
Here is a relaxed structure of Tb2Sm2Ho5 from the Alexandria database. Energies are from PBE.

## Properties
For the density of states at the Fermi level, the calculation gives 12.69 states/eV/cell. Its total magnetization is 0.0 μB/cell.

Cell: 10.884 10.884 8.199 Å, 99.51 99.51 18.45°
Fractional coordinates of all 9 atoms:
Tb 0.047 0.047 0.355
Tb 0.953 0.953 0.645
Sm 0.317 0.317 0.853
Sm 0.683 0.683 0.147
Ho 0.190 0.190 0.527
Ho 0.402 0.402 0.264
Ho 0.500 0.500 0.000
Ho 0.598 0.598 0.736
Ho 0.810 0.810 0.473

## Q
Here is a relaxed structure of Tb2Sm2Ho5 from the Alexandria database. Energies are from PBE.

## Properties
For the density of states at the Fermi level, the calculation gives 28.50 states/eV/cell. Its total magnetization is 0.0 μB/cell.

Cell: 10.058 10.058 10.058 Å, 84.60 108.46 141.03°
Fractional coordinates of all 18 atoms:
Tb 0.004 0.127 0.131
Tb 0.004 0.373 0.377
Tb 0.996 0.627 0.623
Tb 0.996 0.873 0.869
Sm 0.439 0.700 0.239
Sm 0.461 0.200 0.761
Sm 0.544 0.044 0.500
Sm 0.544 0.544 0.000
Ho 0.105 0.298 0.702
Ho 0.105 0.903 0.307
Ho 0.403 0.405 0.498
Ho 0.428 0.022 0.121
Ho 0.428 0.807 0.906
Ho 0.596 0.403 0.298
Ho 0.596 0.798 0.693
Ho 0.900 0.307 0.879
Ho 0.900 0.522 0.094
Ho 0.907 0.905 0.502

The winner here is Q, beating the second structure by 28 meV per atom.

## P
Here is a relaxed structure of Tb2Sm5Ho from the Alexandria database. Energies are from PBE.

## Properties
For the density of states at the Fermi level, the calculation gives 29.49 states/eV/cell. Its total magnetization is 0.0 μB/cell.

Cell: 6.824 9.310 9.319 Å, 85.61 71.67 71.70°
Fractional coordinates of all 16 atoms:
Tb 0.124 0.146 0.480
Tb 0.376 0.604 0.273
Tb 0.624 0.396 0.727
Tb 0.876 0.854 0.520
Sm 0.124 0.647 0.980
Sm 0.126 0.479 0.644
Sm 0.127 0.979 0.148
Sm 0.375 0.103 0.769
Sm 0.376 0.273 0.106
Sm 0.624 0.727 0.894
Sm 0.625 0.897 0.231
Sm 0.873 0.021 0.852
Sm 0.874 0.521 0.356
Sm 0.876 0.353 0.020
Ho 0.374 0.771 0.603
Ho 0.626 0.229 0.397

## Q
Here is a relaxed structure of Tb2Sm5Ho from the Alexandria database. Energies are from PBE.

## Properties
For the density of states at the Fermi level, the calculation gives 22.05 states/eV/cell. Its total magnetization is 0.0 μB/cell.

Cell: 7.202 14.407 5.079 Å, 90.00 90.00 90.00°
Fractional coordinates of all 16 atoms:
Tb 0.250 0.124 0.000
Tb 0.250 0.624 0.000
Tb 0.750 0.376 0.000
Tb 0.750 0.876 0.000
Sm 0.000 0.000 0.500
Sm 0.000 0.251 0.500
Sm 0.000 0.749 0.500
Sm 0.249 0.376 0.000
Sm 0.251 0.876 0.000
Sm 0.500 0.249 0.500
Sm 0.500 0.500 0.500
Sm 0.500 0.751 0.500
Sm 0.749 0.124 0.000
Sm 0.751 0.624 0.000
Ho 0.000 0.500 0.500
Ho 0.500 0.000 0.500

The winner here is Q, beating the second structure by 8 meV per atom.